(1)
! Ba2PrSe3 | OQMD via LeMat-Bulk | PBE | optimized geometry; values from VASP
! **Space-group type**: No. 164
! **Uncorrected energy**: -5.132 eV per atom
&SYSTEM
  ibrav = 0, nat = 6, ntyp = 3
/
ATOMIC_SPECIES
Pr 140.91 Pr.upf
Ba 137.33 Ba.upf
Se 78.96 Se.upf
CELL_PARAMETERS angstrom
-3.925 -2.191 -0.005
3.837 -2.262 -0.606
0.852 -1.551 11.180
ATOMIC_POSITIONS crystal
Pr 0.000 0.000 0.000
Ba 0.667 0.333 0.325
Se 0.000 0.000 0.500
Se 0.667 0.333 0.855
Ba 0.333 0.667 0.675
Se 0.333 0.667 0.145


(2)
! Tl2Pd3S4 | OQMD via LeMat-Bulk | PBE | optimized geometry; values from VASP
! **Space-group type**: No. 70
! **Energy above the most stable polymorph in this dataset**: 0.00 kcal/mol of atoms
&SYSTEM
  ibrav = 0, nat = 18, ntyp = 3
/
ATOMIC_SPECIES
Tl 204.38 Tl.upf
S 32.06 S.upf
Pd 106.42 Pd.upf
CELL_PARAMETERS angstrom
0.000 5.450 12.316
3.120 0.000 12.316
3.120 5.450 0.000
ATOMIC_POSITIONS crystal
Tl 0.324 0.324 0.176
S 0.652 0.973 0.516
Pd 0.501 0.501 0.999
S 0.390 0.734 0.277
S 0.973 0.652 0.860
Pd 0.500 0.500 0.500
S 0.860 0.516 0.973
Pd 0.749 0.749 0.251
Pd 0.999 0.999 0.501
Tl 0.176 0.176 0.324
S 0.598 0.277 0.734
Tl 0.926 0.926 0.074
Pd 0.251 0.251 0.749
Tl 0.074 0.074 0.926
S 0.516 0.860 0.652
S 0.277 0.598 0.390
S 0.734 0.390 0.598
Pd 0.750 0.750 0.750


(3)
! ZrTaBeTc | OQMD via LeMat-Bulk | PBE | optimized geometry; values from VASP
! **Space-group type**: No. 216
! **Energy above the most stable polymorph in this dataset**: 0.00 kcal/mol of atoms
&SYSTEM
  ibrav = 0, nat = 4, ntyp = 4
/
ATOMIC_SPECIES
Ta 180.95 Ta.upf
Be 9.01 Be.upf
Zr 91.22 Zr.upf
Tc 98.00 Tc.upf
CELL_PARAMETERS angstrom
0.867 -4.180 1.455
-3.392 -2.717 1.208
-1.071 -3.550 -2.569
ATOMIC_POSITIONS crystal
Ta 0.500 0.500 0.500
Be 0.750 0.750 0.750
Zr 0.000 0.000 0.000
Tc 0.250 0.250 0.250


(4)
! Ni12Te | OQMD via LeMat-Bulk | PBE | optimized geometry; values from VASP
! **Space-group type**: No. 11
! **Energy above the most stable polymorph in this dataset**: 3.77 kcal/mol of atoms
&SYSTEM
  ibrav = 0, nat = 26, ntyp = 2
/
ATOMIC_SPECIES
Ni 58.69 Ni.upf
Te 127.60 Te.upf
CELL_PARAMETERS angstrom
10.011 0.000 0.000
0.000 2.588 0.000
-0.443 0.000 25.096
ATOMIC_POSITIONS crystal
Ni 0.249 0.250 0.356
Ni 0.486 0.250 0.458
Te 0.581 0.750 0.721
Ni 0.076 0.250 0.424
Ni 0.130 0.250 0.592
Ni 0.308 0.250 0.525
Te 0.419 0.250 0.279
Ni 0.046 0.750 0.342
Ni 0.954 0.250 0.658
Ni 0.720 0.250 0.559
Ni 0.664 0.250 0.392
Ni 0.638 0.750 0.309
Ni 0.102 0.750 0.508
Ni 0.362 0.250 0.691
Ni 0.924 0.750 0.576
Ni 0.457 0.750 0.375
Ni 0.843 0.250 0.325
Ni 0.157 0.750 0.675
Ni 0.280 0.750 0.441
Ni 0.692 0.750 0.475
Ni 0.514 0.750 0.542
Ni 0.870 0.750 0.408
Ni 0.336 0.750 0.608
Ni 0.898 0.250 0.492
Ni 0.751 0.750 0.644
Ni 0.543 0.250 0.625